Entry 1:
Here is Ca2BP2Ru2 after structural relaxation from Alexandria via LeMat-Bulk. Energies are from PBE.

Properties
* formation energy from the elements: -0.78 eV per atom
* crystal system: monoclinic

a b c (Å): 4.0264 5.9524 6.1209
angles (deg): 70.09 70.80 70.23
Closest atoms and distances in Å follow each position.
Positions (direct):
Ca  0.5652  0.1850  0.6846  2 B 2.73, 1 P 2.99
Ca  0.4348  0.8150  0.3154  2 B 2.73, 1 P 2.99
B  0.0000  0.0000  0.0000  2 Ru 1.94
P  0.1852  0.3593  0.2703  3 Ru 2.33-2.36
P  0.8148  0.6407  0.7297  3 Ru 2.33-2.36
Ru  0.1989  0.6850  0.9172  1 B 1.94
Ru  0.8011  0.3150  0.0828  1 B 1.94



Entry 2:
Here is HOsSe2 after structural relaxation from Alexandria via LeMat-Bulk. Energies are from PBE.

Properties
* polymorph energy (0 for the lowest one): 0.000 eV/atom
* crystal system: trigonal

a b c (Å): 6.2969 6.2969 6.2969
angles (deg): 35.48 35.48 35.48
Closest atoms and distances in Å follow each position.
Positions (direct):
H  0.0000  0.0000  0.0000  2 Se 1.77
Os  0.5000  0.5000  0.5000  6 Se 2.51
Se  0.1000  0.1000  0.1000  1 H 1.77
Se  0.9000  0.9000  0.9000  1 H 1.77



Entry 3:
Here is K2AgBrCl3 after structural relaxation from Alexandria via LeMat-Bulk. Energies are from PBE.

Properties
* raw formation energy: -8.5 eV/f.u.
* crystal system: orthorhombic

a b c (Å): 5.2651 5.1203 8.8587
angles (deg): 106.80 107.29 90.00
Closest atoms and distances in Å follow each position.
Positions (direct):
K  0.6436  0.6436  0.2872  1 Cl 3.09, 2 Br 3.45
K  0.3564  0.3564  0.7128  1 Cl 3.09, 2 Br 3.45
Ag  0.0000  0.0000  0.0000  4 Cl 2.56-2.66, 2 Br 2.63
Br  0.5000  0.0000  0.0000  2 Ag 2.63
Cl  0.0000  0.5000  0.0000  2 Ag 2.56
Cl  0.1649  0.1649  0.3298  1 Ag 2.66
Cl  0.8351  0.8351  0.6702  1 Ag 2.66



Entry 4:
Here is RePb3 after structural relaxation from Alexandria via LeMat-Bulk. Energies are from PBE.

Properties
* polymorph energy (0 for the lowest one): 0.280 eV/atom
* formation energy from the elements: 0.70 eV per atom
* crystal system: hexagonal

a b c (Å): 3.3394 3.3394 10.6530
angles (deg): 90.00 90.00 120.00
Closest atoms and distances in Å follow each position.
Positions (direct):
Pb  0.0000  0.0000  0.9532  3 Re 2.90
Pb  0.0000  0.0000  0.5468  3 Re 2.90
Pb  0.6667  0.3333  0.2500  12 Pb 3.34-3.70
Re  0.6667  0.3333  0.7500  6 Pb 2.90



Entry 5:
Here is Cs2NaTbI6 after structural relaxation from Alexandria via LeMat-Bulk. Energies are from PBE.

Properties
* raw formation energy: -14.5 eV/f.u.
* crystal system: orthorhombic

a b c (Å): 8.7770 8.7737 12.4089
angles (deg): 90.00 90.00 90.00
Closest atoms and distances in Å follow each position.
Positions (direct):
Cs  0.5000  0.7505  0.2499  12 I 4.37-4.40
Cs  0.0000  0.2495  0.7499  12 I 4.37-4.40
Cs  0.5000  0.7505  0.7501  12 I 4.37-4.40
Cs  0.0000  0.2495  0.2501  12 I 4.37-4.40
Na  0.0000  0.7490  0.5000  6 I 3.17
Na  0.5000  0.2510  0.0000  6 I 3.17
Tb  0.5000  0.2488  0.5000  6 I 3.03-3.04
Tb  0.0000  0.7512  0.0000  6 I 3.03-3.04
I  0.5000  0.2489  0.2554  1 Tb 3.03, 1 Na 3.17
I  0.5000  0.2489  0.7446  1 Tb 3.03, 1 Na 3.17
I  0.0000  0.7511  0.2446  1 Tb 3.03, 1 Na 3.17
I  0.0000  0.7511  0.7554  1 Tb 3.03, 1 Na 3.17
I  0.2560  0.0035  0.5000  1 Tb 3.04, 1 Na 3.17
I  0.7440  0.0035  0.5000  1 Tb 3.04, 1 Na 3.17
I  0.2550  0.4929  0.5000  1 Tb 3.04, 1 Na 3.17
I  0.7450  0.4929  0.5000  1 Tb 3.04, 1 Na 3.17
I  0.7550  0.5071  0.0000  1 Tb 3.04, 1 Na 3.17
I  0.2450  0.5071  0.0000  1 Tb 3.04, 1 Na 3.17
I  0.2440  0.9965  0.0000  1 Tb 3.04, 1 Na 3.17
I  0.7560  0.9965  0.0000  1 Tb 3.04, 1 Na 3.17



Entry 6:
Here is LiAl2Ag after structural relaxation from Alexandria via LeMat-Bulk. Energies are from PBE.

Properties
* polymorph energy (0 for the lowest one): 0.025 eV/atom
* formation energy from the elements: -0.11 eV per atom
* crystal system: cubic

a b c (Å): 4.4855 4.4855 4.4855
angles (deg): 60.00 60.00 60.00
Closest atoms and distances in Å follow each position.
Positions (direct):
Al  0.2500  0.2500  0.2500  4 Li 2.75, 4 Ag 2.75
Al  0.7500  0.7500  0.7500  4 Li 2.75, 4 Ag 2.75
Ag  0.5000  0.5000  0.5000  8 Al 2.75
Li  0.0000  0.0000  0.0000  8 Al 2.75



Entry 7:
Here is AgSb2Br after structural relaxation from Alexandria via LeMat-Bulk. Energies are from PBE.

Properties
* polymorph energy (0 for the lowest one): 0.107 eV/atom
* raw formation energy: -0.1 eV/f.u.
* crystal system: monoclinic

a b c (Å): 4.9792 4.3466 5.3540
angles (deg): 79.35 90.00 90.00
Closest atoms and distances in Å follow each position.
Positions (direct):
Sb  0.0000  0.0463  0.0618  2 Ag 2.89, 2 Sb 2.92-2.96
Sb  0.0000  0.4537  0.4382  2 Ag 2.89, 2 Sb 2.92-2.96
Br  0.5000  0.7500  0.7500  2 Ag 3.12, 4 Sb 3.38
Ag  0.5000  0.2500  0.2500  4 Sb 2.89, 2 Br 3.12



Entry 8:
Here is HgAuBr2 after structural relaxation from Alexandria via LeMat-Bulk. Energies are from PBE.

Properties
* polymorph energy (0 for the lowest one): 0.036 eV/atom
* raw formation energy: -0.3 eV/f.u.
* crystal system: trigonal

a b c (Å): 4.1554 4.1554 23.7088
angles (deg): 90.00 90.00 120.00
Closest atoms and distances in Å follow each position.
Positions (direct):
Au  0.6667  0.3333  0.0882  3 Br 2.75, 3 Hg 2.89
Au  0.3333  0.6667  0.4215  3 Br 2.75, 3 Hg 2.89
Au  0.0000  0.0000  0.7549  3 Br 2.75, 3 Hg 2.89
Hg  0.3333  0.6667  0.1562  3 Au 2.89, 3 Br 2.89
Hg  0.0000  0.0000  0.4895  3 Au 2.89, 3 Br 2.89
Hg  0.6667  0.3333  0.8228  3 Au 2.89, 3 Br 2.89
Br  0.0000  0.0000  0.0314  3 Au 2.75
Br  0.6667  0.3333  0.3647  3 Au 2.75
Br  0.3333  0.6667  0.6980  3 Au 2.75
Br  0.0000  0.0000  0.2243  3 Hg 2.89
Br  0.6667  0.3333  0.5576  3 Hg 2.89
Br  0.3333  0.6667  0.8910  3 Hg 2.89



Question: Number 1 is which compound?
Answer: Ca2BP2Ru2



Repeat the fourth record exactly.
Here is RePb3 after structural relaxation from Alexandria via LeMat-Bulk. Energies are from PBE.

Properties
* polymorph energy (0 for the lowest one): 0.280 eV/atom
* formation energy from the elements: 0.70 eV per atom
* crystal system: hexagonal

a b c (Å): 3.3394 3.3394 10.6530
angles (deg): 90.00 90.00 120.00
Closest atoms and distances in Å follow each position.
Positions (direct):
Pb  0.0000  0.0000  0.9532  3 Re 2.90
Pb  0.0000  0.0000  0.5468  3 Re 2.90
Pb  0.6667  0.3333  0.2500  12 Pb 3.34-3.70
Re  0.6667  0.3333  0.7500  6 Pb 2.90